! LiDy2MnO6 GGA+U relaxed; values from VASP
! - Total energy: -146.326 eV per cell
! - Crystal system: monoclinic
! - N(E_F): 14.80 states/eV/cell
! - Symmetry: P2_1/c
&SYSTEM
  ibrav = 0, nat = 20, ntyp = 4
/
ATOMIC_SPECIES
Li 6.94 Li.upf
Dy 162.50 Dy.upf
Mn 54.94 Mn.upf
O 16.00 O.upf
CELL_PARAMETERS angstrom
5.2512 0.0000 0.0000
0.0000 5.6906 0.0000
-5.0931 0.0000 7.4250
ATOMIC_POSITIONS crystal
Li 0.0000 0.0000 0.0000
Li 0.0000 0.5000 0.5000
Dy 0.2260 0.0822 0.7476
Dy 0.2260 0.4178 0.2476
Dy 0.7740 0.5822 0.7524
Dy 0.7740 0.9178 0.2524
Mn 0.5000 0.0000 0.5000
Mn 0.5000 0.5000 0.0000
O 0.1482 0.1785 0.4480
O 0.1482 0.3215 0.9480
O 0.2696 0.7098 0.4413
O 0.2696 0.7902 0.9413
O 0.3683 0.0373 0.2562
O 0.3683 0.4627 0.7562
O 0.6317 0.5373 0.2438
O 0.6317 0.9627 0.7438
O 0.7304 0.2098 0.0587
O 0.7304 0.2902 0.5587
O 0.8518 0.6785 0.0520
O 0.8518 0.8215 0.5520